1.
# KIn2P | the Alexandria database | PBE-GGA | relaxed
# Energy relative to the elements ... -0.41 eV per formula unit
# Volume ... 29.051 A^3/atom
# DFT total energy ... -3.099 eV per atom
data_KIn2P
_chemical_formula_sum 'K4 In8 P4'
_cell_length_a 8.652
_cell_length_b 8.652
_cell_length_c 6.210
_cell_angle_alpha 90.00
_cell_angle_beta 90.00
_cell_angle_gamma 90.00
_symmetry_space_group_name_H-M 'I -4 2 d'
_symmetry_Int_Tables_number 122
_symmetry_space_group_name_Hall 'I -4 2bw'
loop_
_atom_site_label
_atom_site_type_symbol
_atom_site_fract_x
_atom_site_fract_y
_atom_site_fract_z
K1 K 0.000 0.000 0.000
In1 In 0.175 0.250 0.625
P1 P 0.000 0.000 0.500

---

2.
# CdSe3 | the Alexandria database | PBE-GGA | relaxed
# E_form (uncorrected) ... -0.15 eV/atom
# Volume ... 23.163 A^3/atom
# DFT total energy ... -2.995 eV per atom
data_CdSe3
_chemical_formula_sum 'Cd1 Se3'
_cell_length_a 3.999
_cell_length_b 5.793
_cell_length_c 3.999
_cell_angle_alpha 90.00
_cell_angle_beta 90.00
_cell_angle_gamma 90.00
_symmetry_space_group_name_H-M 'P m m 2'
_symmetry_Int_Tables_number 25
loop_
_symmetry_equiv_pos_as_xyz
'x,y,z'
'-x,-y,z'
'-x,y,z'
'x,-y,z'
loop_
_atom_site_label
_atom_site_type_symbol
_atom_site_fract_x
_atom_site_fract_y
_atom_site_fract_z
Cd1 Cd 0.000 0.000 0.000
Se1 Se 0.000 0.500 0.001
Se2 Se 0.500 0.000 0.500
Se3 Se 0.500 0.500 0.501

---

3.
# PrZn4Ga12 | the Alexandria database | PBE-GGA | relaxed
# Energy relative to the elements ... -0.29 eV per formula unit
# Volume ... 20.175 A^3/atom
# DFT total energy ... -2.734 eV per atom
data_PrZn4Ga12
_chemical_formula_sum 'Pr2 Zn8 Ga24'
_cell_length_a 8.819
_cell_length_b 8.819
_cell_length_c 8.819
_cell_angle_alpha 90.00
_cell_angle_beta 90.00
_cell_angle_gamma 90.00
_symmetry_space_group_name_H-M 'I m -3'
_symmetry_Int_Tables_number 204
_symmetry_space_group_name_Hall '-I 2 2 3'
loop_
_atom_site_label
_atom_site_type_symbol
_atom_site_fract_x
_atom_site_fract_y
_atom_site_fract_z
Pr1 Pr 0.000 0.000 0.000
Zn1 Zn 0.250 0.250 0.250
Ga1 Ga 0.000 0.355 0.152

---

4.
# Li2InAs | the Alexandria database | PBE-GGA | relaxed
# Energy relative to the elements ... -1.38 eV per formula unit
# Volume ... 18.090 A^3/atom
# DFT total energy ... -3.149 eV per atom
data_Li2InAs
_chemical_formula_sum 'Li4 In2 As2'
_cell_length_a 6.196
_cell_length_b 7.370
_cell_length_c 3.169
_cell_angle_alpha 90.00
_cell_angle_beta 90.22
_cell_angle_gamma 90.00
_symmetry_space_group_name_H-M 'C 1 2/m 1'
_symmetry_Int_Tables_number 12
loop_
_symmetry_equiv_pos_as_xyz
'x,y,z'
'-x,-y,-z'
'-x,y,-z'
'x,-y,z'
'x+1/2,y+1/2,z'
'-x+1/2,-y+1/2,-z'
'-x+1/2,y+1/2,-z'
'x+1/2,-y+1/2,z'
loop_
_atom_site_label
_atom_site_type_symbol
_atom_site_fract_x
_atom_site_fract_y
_atom_site_fract_z
Li1 Li 0.250 0.250 0.000
In1 In 0.000 0.000 0.500
As1 As 0.000 0.500 0.500

---

5.
# Rb3Tb2PrO6 | the Alexandria database | PBE-GGA | relaxed
# E_form (uncorrected) ... -2.62 eV/atom
# Volume ... 18.393 A^3/atom
# DFT total energy ... -6.515 eV per atom
data_Rb3Tb2PrO6
_chemical_formula_sum 'Rb6 Tb4 Pr2 O12'
_cell_length_a 6.219
_cell_length_b 10.773
_cell_length_c 6.906
_cell_angle_alpha 90.00
_cell_angle_beta 107.46
_cell_angle_gamma 90.00
_symmetry_space_group_name_H-M 'C 1 2/m 1'
_symmetry_Int_Tables_number 12
loop_
_symmetry_equiv_pos_as_xyz
'x,y,z'
'-x,-y,-z'
'-x,y,-z'
'x,-y,z'
'x+1/2,y+1/2,z'
'-x+1/2,-y+1/2,-z'
'-x+1/2,y+1/2,-z'
'x+1/2,-y+1/2,z'
loop_
_atom_site_label
_atom_site_type_symbol
_atom_site_fract_x
_atom_site_fract_y
_atom_site_fract_z
Rb1 Rb 0.000 0.000 0.000
Rb2 Rb 0.000 0.332 0.000
Tb1 Tb 0.000 0.167 0.500
Pr1 Pr 0.000 0.500 0.500
O1 O 0.215 0.000 0.678
O2 O 0.231 0.328 0.678

---

6.
# Zr2PaCo | the Alexandria database | PBE-GGA | relaxed
# Energy relative to the elements ... 1.07 eV per formula unit
# Volume ... 20.764 A^3/atom
# DFT total energy ... -8.157 eV per atom
# Energy relative to the lowest polymorph listed for this composition ... 464 meV per atom
data_Zr2PaCo
_chemical_formula_sum 'Zr6 Pa3 Co3'
_cell_length_a 3.1144
_cell_length_b 3.1144
_cell_length_c 29.6615
_cell_angle_alpha 90.00
_cell_angle_beta 90.00
_cell_angle_gamma 120.00
_symmetry_space_group_name_H-M 'R -3 m'
_symmetry_Int_Tables_number 166
_symmetry_space_group_name_Hall '-R 3 2"'
loop_
_atom_site_label
_atom_site_type_symbol
_atom_site_fract_x
_atom_site_fract_y
_atom_site_fract_z
Zr1 Zr 0.0000 0.0000 0.1016
Pa1 Pa 0.0000 0.0000 0.0000
Co1 Co 0.0000 0.0000 0.5000

---

7.
# LaGdInPd | the Alexandria database | PBE-GGA | relaxed
# Energy relative to the elements ... -2.22 eV per formula unit
# Volume ... 26.607 A^3/atom
# DFT total energy ... -7.290 eV per atom
data_LaGdInPd
_chemical_formula_sum 'La4 Gd4 In4 Pd4'
_cell_length_a 7.523
_cell_length_b 7.523
_cell_length_c 7.523
_cell_angle_alpha 90.00
_cell_angle_beta 90.00
_cell_angle_gamma 90.00
_symmetry_space_group_name_H-M 'F -4 3 m'
_symmetry_Int_Tables_number 216
_symmetry_space_group_name_Hall 'F -4 2 3'
loop_
_atom_site_label
_atom_site_type_symbol
_atom_site_fract_x
_atom_site_fract_y
_atom_site_fract_z
La1 La 0.000 0.000 0.000
Gd1 Gd 0.000 0.000 0.500
In1 In 0.250 0.250 0.250
Pd1 Pd 0.250 0.250 0.750

---

8.
# AgPdI2O | the Alexandria database | PBE-GGA | relaxed
# E_form (uncorrected) ... 0.54 eV/atom
# Volume ... 25.321 A^3/atom
# DFT total energy ... -2.679 eV per atom
# Energy relative to the lowest polymorph listed for this composition ... 483 meV per atom
data_AgPdI2O
_chemical_formula_sum 'Ag1 Pd1 I2 O1'
_cell_length_a 5.656
_cell_length_b 5.656
_cell_length_c 3.957
_cell_angle_alpha 90.00
_cell_angle_beta 90.00
_cell_angle_gamma 90.00
_symmetry_space_group_name_H-M 'P 4/m m m'
_symmetry_Int_Tables_number 123
_symmetry_space_group_name_Hall '-P 4 2'
loop_
_atom_site_label
_atom_site_type_symbol
_atom_site_fract_x
_atom_site_fract_y
_atom_site_fract_z
Ag1 Ag 0.000 0.000 0.000
Pd1 Pd 0.500 0.500 0.500
I1 I 0.000 0.500 0.000
O1 O 0.000 0.000 0.500

---

9.
# BaHfGa | the Alexandria database | PBE-GGA | relaxed
# Energy relative to the elements ... 0.29 eV per formula unit
# Volume ... 29.127 A^3/atom
# DFT total energy ... -4.872 eV per atom
# Energy relative to the lowest polymorph listed for this composition ... 306 meV per atom
data_BaHfGa
_chemical_formula_sum 'Ba2 Hf2 Ga2'
_cell_length_a 3.420
_cell_length_b 4.132
_cell_length_c 12.366
_cell_angle_alpha 90.00
_cell_angle_beta 90.00
_cell_angle_gamma 90.00
_symmetry_space_group_name_H-M 'I m m 2'
_symmetry_Int_Tables_number 44
loop_
_symmetry_equiv_pos_as_xyz
'x,y,z'
'-x,-y,z'
'-x,y,z'
'x,-y,z'
'x+1/2,y+1/2,z+1/2'
'-x+1/2,-y+1/2,z+1/2'
'-x+1/2,y+1/2,z+1/2'
'x+1/2,-y+1/2,z+1/2'
loop_
_atom_site_label
_atom_site_type_symbol
_atom_site_fract_x
_atom_site_fract_y
_atom_site_fract_z
Ba1 Ba 0.000 0.000 0.000
Hf1 Hf 0.000 0.000 0.272
Ga1 Ga 0.000 0.000 0.705

---

10.
# YTh6Tc3 | the Alexandria database | PBE-GGA | relaxed
# Energy relative to the elements ... -0.22 eV per formula unit
# Volume ... 26.875 A^3/atom
# DFT total energy ... -8.230 eV per atom
data_YTh6Tc3
_chemical_formula_sum 'Y4 Th24 Tc12'
_cell_length_a 12.112
_cell_length_b 12.689
_cell_length_c 6.995
_cell_angle_alpha 90.00
_cell_angle_beta 90.00
_cell_angle_gamma 90.00
_symmetry_space_group_name_H-M 'C m c 21'
_symmetry_Int_Tables_number 36
loop_
_symmetry_equiv_pos_as_xyz
'x,y,z'
'-x,-y,z+1/2'
'-x,y,z'
'x,-y,z+1/2'
'x+1/2,y+1/2,z'
'-x+1/2,-y+1/2,z+1/2'
'-x+1/2,y+1/2,z'
'x+1/2,-y+1/2,z+1/2'
loop_
_atom_site_label
_atom_site_type_symbol
_atom_site_fract_x
_atom_site_fract_y
_atom_site_fract_z
Y1 Y 0.000 0.201 0.000
Th1 Th 0.000 0.182 0.477
Th2 Th 0.000 0.440 0.719
Th3 Th 0.218 0.000 0.491
Th4 Th 0.233 0.260 0.712
Tc1 Tc 0.000 0.002 0.739
Tc2 Tc 0.118 0.375 0.305

---

11.
# MgP | the Alexandria database | PBE-GGA | relaxed
# Energy relative to the elements ... -0.54 eV per formula unit
# Volume ... 18.278 A^3/atom
# DFT total energy ... -3.772 eV per atom
# Energy relative to the lowest polymorph listed for this composition ... 250 meV per atom
data_MgP
_chemical_formula_sum 'Mg3 P3'
_cell_length_a 3.4372
_cell_length_b 3.4372
_cell_length_c 10.7184
_cell_angle_alpha 90.00
_cell_angle_beta 90.00
_cell_angle_gamma 120.00
_symmetry_space_group_name_H-M 'R -3 m'
_symmetry_Int_Tables_number 166
_symmetry_space_group_name_Hall '-R 3 2"'
loop_
_atom_site_label
_atom_site_type_symbol
_atom_site_fract_x
_atom_site_fract_y
_atom_site_fract_z
Mg1 Mg 0.0000 0.0000 0.0000
P1 P 0.0000 0.0000 0.5000

---

12.
# Rb2TaReO | the Alexandria database | PBE-GGA | relaxed
# E_form (uncorrected) ... 1.13 eV/atom
# Volume ... 30.698 A^3/atom
# DFT total energy ... -5.111 eV per atom
data_Rb2TaReO
_chemical_formula_sum 'Rb2 Ta1 Re1 O1'
_cell_length_a 6.389
_cell_length_b 6.389
_cell_length_c 3.760
_cell_angle_alpha 90.00
_cell_angle_beta 90.00
_cell_angle_gamma 90.00
_symmetry_space_group_name_H-M 'P 4/m m m'
_symmetry_Int_Tables_number 123
_symmetry_space_group_name_Hall '-P 4 2'
loop_
_atom_site_label
_atom_site_type_symbol
_atom_site_fract_x
_atom_site_fract_y
_atom_site_fract_z
Rb1 Rb 0.000 0.500 0.000
Ta1 Ta 0.000 0.000 0.500
Re1 Re 0.500 0.500 0.500
O1 O 0.500 0.500 0.000

---

13.
# Tm6Sb5S | the Alexandria database | PBE-GGA | relaxed
# E_form (uncorrected) ... -1.19 eV/atom
# Volume ... 27.410 A^3/atom
# DFT total energy ... -5.487 eV per atom
data_Tm6Sb5S
_chemical_formula_sum 'Tm12 Sb10 S2'
_cell_length_a 7.400
_cell_length_b 12.777
_cell_length_c 7.384
_cell_angle_alpha 90.00
_cell_angle_beta 109.56
_cell_angle_gamma 90.00
_symmetry_space_group_name_H-M 'C 1 2/m 1'
_symmetry_Int_Tables_number 12
loop_
_symmetry_equiv_pos_as_xyz
'x,y,z'
'-x,-y,-z'
'-x,y,-z'
'x,-y,z'
'x+1/2,y+1/2,z'
'-x+1/2,-y+1/2,-z'
'-x+1/2,y+1/2,-z'
'x+1/2,-y+1/2,z'
loop_
_atom_site_label
_atom_site_type_symbol
_atom_site_fract_x
_atom_site_fract_y
_atom_site_fract_z
Tm1 Tm 0.238 0.000 0.250
Tm2 Tm 0.240 0.160 0.741
Sb1 Sb 0.000 0.172 0.000
Sb2 Sb 0.000 0.335 0.500
Sb3 Sb 0.000 0.500 0.000
S1 S 0.000 0.000 0.500

---

14.
# Mn2GeN | the Alexandria database | PBE-GGA | relaxed
# E_form (uncorrected) ... -0.10 eV/atom
# Volume ... 11.185 A^3/atom
# DFT total energy ... -7.918 eV per atom
data_Mn2GeN
_chemical_formula_sum 'Mn2 Ge1 N1'
_cell_length_a 2.640
_cell_length_b 2.673
_cell_length_c 6.474
_cell_angle_alpha 90.00
_cell_angle_beta 101.65
_cell_angle_gamma 90.00
_symmetry_space_group_name_H-M 'P 1 m 1'
_symmetry_Int_Tables_number 6
loop_
_symmetry_equiv_pos_as_xyz
'x,y,z'
'x,-y,z'
loop_
_atom_site_label
_atom_site_type_symbol
_atom_site_fract_x
_atom_site_fract_y
_atom_site_fract_z
Mn1 Mn 0.000 0.000 0.000
Mn2 Mn 0.167 0.500 0.340
Ge1 Ge 0.804 0.000 0.618
N1 N 0.550 0.500 0.102

---

15.
# HoPu2ZrP4 | the Alexandria database | PBE-GGA | relaxed
# Energy relative to the elements ... -10.65 eV per formula unit
# Volume ... 21.253 A^3/atom
# DFT total energy ... -9.260 eV per atom
data_HoPu2ZrP4
_chemical_formula_sum 'Ho1 Pu2 Zr1 P4'
_cell_length_a 6.768
_cell_length_b 3.923
_cell_length_c 6.794
_cell_angle_alpha 90.00
_cell_angle_beta 109.54
_cell_angle_gamma 90.00
_symmetry_space_group_name_H-M 'P 1 2/m 1'
_symmetry_Int_Tables_number 10
loop_
_symmetry_equiv_pos_as_xyz
'x,y,z'
'-x,-y,-z'
'-x,y,-z'
'x,-y,z'
loop_
_atom_site_label
_atom_site_type_symbol
_atom_site_fract_x
_atom_site_fract_y
_atom_site_fract_z
Ho1 Ho 0.000 0.000 0.000
Pu1 Pu 0.500 0.000 0.500
Pu2 Pu 0.500 0.500 0.000
Zr1 Zr 0.000 0.500 0.500
P1 P 0.242 0.000 0.741
P2 P 0.246 0.500 0.258

---

16.
# MgBH3 | the Alexandria database | PBE-GGA | relaxed
# Volume ... 6.710 A^3/atom
# DFT total energy ... -3.101 eV per atom
# Energy relative to the lowest polymorph listed for this composition ... 646 meV per atom
data_MgBH3
_chemical_formula_sum 'Mg1 B1 H3'
_cell_length_a 3.225
_cell_length_b 3.225
_cell_length_c 3.225
_cell_angle_alpha 90.00
_cell_angle_beta 90.00
_cell_angle_gamma 90.00
_symmetry_space_group_name_H-M 'P m -3 m'
_symmetry_Int_Tables_number 221
_symmetry_space_group_name_Hall '-P 4 2 3'
loop_
_atom_site_label
_atom_site_type_symbol
_atom_site_fract_x
_atom_site_fract_y
_atom_site_fract_z
Mg1 Mg 0.000 0.000 0.000
B1 B 0.500 0.500 0.500
H1 H 0.000 0.500 0.500

---

17.
# NaThTlIn | the Alexandria database | PBE-GGA | relaxed
# Energy relative to the elements ... -0.28 eV per formula unit
# Volume ... 28.109 A^3/atom
# DFT total energy ... -3.531 eV per atom
data_NaThTlIn
_chemical_formula_sum 'Na4 Th4 Tl4 In4'
_cell_length_a 7.662
_cell_length_b 7.662
_cell_length_c 7.662
_cell_angle_alpha 90.00
_cell_angle_beta 90.00
_cell_angle_gamma 90.00
_symmetry_space_group_name_H-M 'F -4 3 m'
_symmetry_Int_Tables_number 216
_symmetry_space_group_name_Hall 'F -4 2 3'
loop_
_atom_site_label
_atom_site_type_symbol
_atom_site_fract_x
_atom_site_fract_y
_atom_site_fract_z
Na1 Na 0.000 0.000 0.000
Th1 Th 0.000 0.000 0.500
Tl1 Tl 0.250 0.250 0.250
In1 In 0.250 0.250 0.750

---

18.
# NaZrCu4 | the Alexandria database | PBE-GGA | relaxed
# Energy relative to the elements ... 0.52 eV per formula unit
# Volume ... 15.218 A^3/atom
# DFT total energy ... -4.288 eV per atom
data_NaZrCu4
_chemical_formula_sum 'Na4 Zr4 Cu16'
_cell_length_a 7.148
_cell_length_b 7.148
_cell_length_c 7.148
_cell_angle_alpha 90.00
_cell_angle_beta 90.00
_cell_angle_gamma 90.00
_symmetry_space_group_name_H-M 'F -4 3 m'
_symmetry_Int_Tables_number 216
_symmetry_space_group_name_Hall 'F -4 2 3'
loop_
_atom_site_label
_atom_site_type_symbol
_atom_site_fract_x
_atom_site_fract_y
_atom_site_fract_z
Na1 Na 0.000 0.000 0.000
Zr1 Zr 0.250 0.250 0.750
Cu1 Cu 0.126 0.126 0.374

---

19.
# LiAcTmHg | the Alexandria database | PBE-GGA | relaxed
# Energy relative to the elements ... -0.61 eV per formula unit
# Volume ... 28.834 A^3/atom
# DFT total energy ... -2.850 eV per atom
data_LiAcTmHg
_chemical_formula_sum 'Li4 Ac4 Tm4 Hg4'
_cell_length_a 7.727
_cell_length_b 7.727
_cell_length_c 7.727
_cell_angle_alpha 90.00
_cell_angle_beta 90.00
_cell_angle_gamma 90.00
_symmetry_space_group_name_H-M 'F -4 3 m'
_symmetry_Int_Tables_number 216
_symmetry_space_group_name_Hall 'F -4 2 3'
loop_
_atom_site_label
_atom_site_type_symbol
_atom_site_fract_x
_atom_site_fract_y
_atom_site_fract_z
Li1 Li 0.000 0.000 0.000
Ac1 Ac 0.250 0.250 0.250
Tm1 Tm 0.250 0.250 0.750
Hg1 Hg 0.000 0.000 0.500

---

20.
# NaAgHPd | the Alexandria database | PBE-GGA | relaxed
# Volume ... 15.376 A^3/atom
# DFT total energy ... -3.300 eV per atom
data_NaAgHPd
_chemical_formula_sum 'Na2 Ag2 H2 Pd2'
_cell_length_a 2.913
_cell_length_b 4.405
_cell_length_c 9.586
_cell_angle_alpha 90.00
_cell_angle_beta 90.00
_cell_angle_gamma 90.00
_symmetry_space_group_name_H-M 'A m m 2'
_symmetry_Int_Tables_number 38
loop_
_symmetry_equiv_pos_as_xyz
'x,y,z'
'-x,-y,z'
'-x,y,z'
'x,-y,z'
'x,y+1/2,z+1/2'
'-x,-y+1/2,z+1/2'
'-x,y+1/2,z+1/2'
'x,-y+1/2,z+1/2'
loop_
_atom_site_label
_atom_site_type_symbol
_atom_site_fract_x
_atom_site_fract_y
_atom_site_fract_z
Na1 Na 0.000 0.000 0.000
Ag1 Ag 0.500 0.000 0.694
H1 H 0.500 0.000 0.407
Pd1 Pd 0.000 0.000 0.305